# 1
! Mg2Ta, relaxed, DFT GGA-PBE; values from VASP
&SYSTEM
  ibrav = 0, nat = 12, ntyp = 2
/
ATOMIC_SPECIES
Mg 24.30 Mg.upf
Ta 180.95 Ta.upf
CELL_PARAMETERS angstrom
6.2629 0.0000 0.0000
0.0000 4.0569 0.0000
0.0000 0.0000 9.4445
ATOMIC_POSITIONS angstrom
Mg 0.7656 1.0142 0.7881
Mg 0.8891 1.0142 7.0704
Mg 2.2424 3.0427 2.3482
Mg 2.3658 3.0427 5.5103
Mg 3.8970 1.0142 3.9342
Mg 4.0205 1.0142 7.0963
Mg 5.3738 3.0427 2.3741
Mg 5.4973 3.0427 8.6564
Ta 0.6081 1.0142 4.0247
Ta 2.5233 3.0427 8.7469
Ta 3.7396 1.0142 0.6976
Ta 5.6548 3.0427 5.4198
! * raw total energy: -56.66 eV per cell
! * magnetic moment: 0.0 Bohr magnetons per cell

---

# 2
! Mg2Ta, relaxed, DFT GGA-PBE; values from VASP
&SYSTEM
  ibrav = 0, nat = 3, ntyp = 2
/
ATOMIC_SPECIES
Mg 24.30 Mg.upf
Ta 180.95 Ta.upf
CELL_PARAMETERS angstrom
2.9950 0.0000 0.0000
-1.4975 2.5938 0.0000
0.0000 0.0000 7.7219
ATOMIC_POSITIONS angstrom
Mg 0.0000 1.7292 2.5183
Mg 1.4975 0.8646 5.2035
Ta 0.0000 0.0000 0.0000
! * raw total energy: -14.31 eV per cell
! * magnetic moment: 0.0 Bohr magnetons per cell

---

# 3
! Mg2Ta, relaxed, DFT GGA-PBE; values from VASP
&SYSTEM
  ibrav = 0, nat = 3, ntyp = 2
/
ATOMIC_SPECIES
Mg 24.30 Mg.upf
Ta 180.95 Ta.upf
CELL_PARAMETERS angstrom
0.0000 3.3532 3.3532
3.3532 0.0000 3.3532
3.3532 3.3532 0.0000
ATOMIC_POSITIONS angstrom
Mg 1.6766 1.6766 1.6766
Mg 5.0298 5.0298 5.0298
Ta 0.0000 0.0000 0.0000
! * raw total energy: -11.20 eV per cell
! * magnetic moment: 0.0 Bohr magnetons per cell

---

# 4
! MgTa5, relaxed, DFT GGA-PBE; values from VASP
&SYSTEM
  ibrav = 0, nat = 6, ntyp = 2
/
ATOMIC_SPECIES
Mg 24.30 Mg.upf
Ta 180.95 Ta.upf
CELL_PARAMETERS angstrom
0.0000 3.8861 3.8861
3.8861 0.0000 3.8861
3.8861 3.8861 0.0000
ATOMIC_POSITIONS angstrom
Mg 0.0000 0.0000 0.0000
Ta 4.8442 2.9280 2.9280
Ta 1.9431 1.9431 1.9431
Ta 2.9280 4.8442 2.9280
Ta 2.9280 2.9280 4.8442
Ta 4.8442 4.8442 4.8442
! * raw total energy: -58.64 eV per cell
! * magnetic moment: 0.0 Bohr magnetons per cell

---

# 5
! MgTa2, relaxed, DFT GGA-PBE; values from VASP
&SYSTEM
  ibrav = 0, nat = 6, ntyp = 2
/
ATOMIC_SPECIES
Mg 24.30 Mg.upf
Ta 180.95 Ta.upf
CELL_PARAMETERS angstrom
0.0000 3.9342 3.9342
3.9342 0.0000 3.9342
3.9342 3.9342 0.0000
ATOMIC_POSITIONS angstrom
Mg 0.9835 0.9835 0.9835
Mg 6.8848 6.8848 6.8848
Ta 3.9342 1.9671 1.9671
Ta 1.9671 3.9342 1.9671
Ta 1.9671 1.9671 3.9342
Ta 3.9342 3.9342 3.9342
! * raw total energy: -48.08 eV per cell
! * magnetic moment: 0.0 Bohr magnetons per cell

---

# 6
! MgTa, relaxed, DFT GGA-PBE; values from VASP
&SYSTEM
  ibrav = 0, nat = 8, ntyp = 2
/
ATOMIC_SPECIES
Mg 24.30 Mg.upf
Ta 180.95 Ta.upf
CELL_PARAMETERS angstrom
0.0000 4.3608 8.1562
2.2636 0.0000 8.1562
2.2636 4.3608 0.0000
ATOMIC_POSITIONS angstrom
Mg 1.6977 0.3325 6.1172
Mg 2.8295 2.5129 10.1953
Mg 1.6977 6.2087 6.1172
Mg 2.8295 8.3891 10.1953
Ta 1.6977 3.2706 4.6838
Ta 1.6977 3.2706 7.5505
Ta 2.8295 5.4510 8.7620
Ta 2.8295 5.4510 11.6286
! * raw total energy: -48.38 eV per cell
! * magnetic moment: 0.0 Bohr magnetons per cell

---

# 7
! MgTa2, relaxed, DFT GGA-PBE; values from VASP
&SYSTEM
  ibrav = 0, nat = 12, ntyp = 2
/
ATOMIC_SPECIES
Mg 24.30 Mg.upf
Ta 180.95 Ta.upf
CELL_PARAMETERS angstrom
6.2117 0.0000 0.0000
0.0000 6.2117 0.0000
0.0000 0.0000 6.2117
ATOMIC_POSITIONS angstrom
Mg 0.0000 0.0000 0.0000
Mg 0.0000 3.1058 3.1058
Mg 3.1058 0.0000 3.1058
Mg 3.1058 3.1058 0.0000
Ta 0.8604 3.9662 5.3513
Ta 0.8604 5.3513 2.2455
Ta 2.2455 0.8604 5.3513
Ta 2.2455 2.2455 2.2455
Ta 3.9662 3.9662 3.9662
Ta 3.9662 5.3513 0.8604
Ta 5.3513 0.8604 3.9662
Ta 5.3513 2.2455 0.8604
! * raw total energy: -82.15 eV per cell
! * magnetic moment: 0.0 Bohr magnetons per cell

---

# 8
! MgTa, relaxed, DFT GGA-PBE; values from VASP
&SYSTEM
  ibrav = 0, nat = 4, ntyp = 2
/
ATOMIC_SPECIES
Mg 24.30 Mg.upf
Ta 180.95 Ta.upf
CELL_PARAMETERS angstrom
2.9602 0.0000 0.0000
-1.4801 2.5636 0.0000
0.0000 0.0000 10.2807
ATOMIC_POSITIONS angstrom
Mg 0.0000 1.7091 1.3193
Mg 1.4801 0.8545 8.9614
Ta 0.0000 1.7091 6.4161
Ta 1.4801 0.8545 3.8646
! * raw total energy: -25.89 eV per cell
! * magnetic moment: 0.0 Bohr magnetons per cell

---

# 9
! Mg2Ta, relaxed, DFT GGA-PBE; values from VASP
&SYSTEM
  ibrav = 0, nat = 6, ntyp = 2
/
ATOMIC_SPECIES
Mg 24.30 Mg.upf
Ta 180.95 Ta.upf
CELL_PARAMETERS angstrom
4.8479 0.0000 0.0000
-2.4239 4.1984 0.0000
0.0000 0.0000 5.7682
ATOMIC_POSITIONS angstrom
Mg 0.0000 0.0000 0.0000
Mg 0.0000 0.0000 2.8841
Mg 0.0000 2.7989 1.4421
Mg 2.4239 1.3995 4.3262
Ta 0.0000 2.7989 4.3262
Ta 2.4239 1.3995 1.4421
! * raw total energy: -26.13 eV per cell
! * magnetic moment: 1.1 Bohr magnetons per cell

---

# 10
! MgTa2, relaxed, DFT GGA-PBE; values from VASP
&SYSTEM
  ibrav = 0, nat = 6, ntyp = 2
/
ATOMIC_SPECIES
Mg 24.30 Mg.upf
Ta 180.95 Ta.upf
CELL_PARAMETERS angstrom
5.7799 -1.4022 0.0000
5.7799 1.4022 0.0000
-1.5002 0.0000 6.9878
ATOMIC_POSITIONS angstrom
Mg -0.1072 0.0000 2.2214
Mg 10.1668 0.0000 4.7664
Ta 2.8535 0.0000 2.3926
Ta 2.7497 0.0000 6.9119
Ta 7.3099 0.0000 0.0759
Ta 7.2061 0.0000 4.5952
! * raw total energy: -48.93 eV per cell
! * magnetic moment: 0.0 Bohr magnetons per cell

---

# 11
! MgTa, relaxed, DFT GGA-PBE; values from VASP
&SYSTEM
  ibrav = 0, nat = 4, ntyp = 2
/
ATOMIC_SPECIES
Mg 24.30 Mg.upf
Ta 180.95 Ta.upf
CELL_PARAMETERS angstrom
2.7251 0.0000 0.0000
0.0000 4.8288 0.0000
-0.9207 0.0000 5.8132
ATOMIC_POSITIONS angstrom
Mg -0.0222 1.2072 2.2375
Mg 1.8266 3.6216 3.5757
Ta 0.7955 3.6216 0.6178
Ta 1.0089 1.2072 5.1955
! * raw total energy: -25.72 eV per cell
! * magnetic moment: 0.0 Bohr magnetons per cell

---

# 12
! MgTa, relaxed, DFT GGA-PBE; values from VASP
&SYSTEM
  ibrav = 0, nat = 12, ntyp = 2
/
ATOMIC_SPECIES
Mg 24.30 Mg.upf
Ta 180.95 Ta.upf
CELL_PARAMETERS angstrom
9.8759 0.0000 0.0000
-4.9379 8.5528 0.0000
0.0000 0.0000 2.9432
ATOMIC_POSITIONS angstrom
Mg -2.8118 6.8976 0.7358
Mg 0.3704 2.6689 0.7358
Mg 2.4965 1.0137 2.2074
Mg 2.4414 7.5391 0.7358
Mg 4.5675 5.8839 2.2074
Mg 7.7498 1.6552 2.2074
Ta -1.3625 4.7360 2.2074
Ta -0.1552 7.3647 2.2074
Ta 1.5177 5.0048 2.2074
Ta 3.4203 3.5479 0.7358
Ta 5.0931 1.1881 0.7358
Ta 6.3004 3.8168 0.7358
! * raw total energy: -76.80 eV per cell
! * magnetic moment: 0.0 Bohr magnetons per cell

---

# 13
! MgTa, relaxed, DFT GGA-PBE; values from VASP
&SYSTEM
  ibrav = 0, nat = 4, ntyp = 2
/
ATOMIC_SPECIES
Mg 24.30 Mg.upf
Ta 180.95 Ta.upf
CELL_PARAMETERS angstrom
2.8610 0.0000 0.0000
-0.6978 4.8307 0.0000
-0.5224 -0.4731 5.6324
ATOMIC_POSITIONS angstrom
Mg 0.0857 1.0001 2.2049
Mg 1.5550 3.3575 3.4275
Ta 0.3770 3.5146 0.5026
Ta 1.2638 0.8430 5.1298
! * raw total energy: -25.73 eV per cell
! * magnetic moment: 0.0 Bohr magnetons per cell

---

# 14
! MgTa, relaxed, DFT GGA-PBE; values from VASP
&SYSTEM
  ibrav = 0, nat = 2, ntyp = 2
/
ATOMIC_SPECIES
Mg 24.30 Mg.upf
Ta 180.95 Ta.upf
CELL_PARAMETERS angstrom
0.0000 2.7398 2.7398
2.7398 0.0000 2.7398
2.7398 2.7398 0.0000
ATOMIC_POSITIONS angstrom
Mg 0.0000 0.0000 0.0000
Ta 2.7398 2.7398 2.7398
! * raw total energy: -10.41 eV per cell
! * magnetic moment: 0.3 Bohr magnetons per cell

---

# 15
! MgTa5, relaxed, DFT GGA-PBE; values from VASP
&SYSTEM
  ibrav = 0, nat = 6, ntyp = 2
/
ATOMIC_SPECIES
Mg 24.30 Mg.upf
Ta 180.95 Ta.upf
CELL_PARAMETERS angstrom
5.1514 0.0000 0.0000
-2.5757 4.4612 0.0000
0.0000 0.0000 4.9025
ATOMIC_POSITIONS angstrom
Mg 0.0000 0.0000 0.0000
Ta -1.6792 2.9085 2.4513
Ta 0.0000 2.9742 0.0000
Ta 0.8965 1.5527 2.4513
Ta 3.3585 0.0000 2.4513
Ta 2.5757 1.4871 0.0000
! * raw total energy: -59.07 eV per cell
! * magnetic moment: 0.0 Bohr magnetons per cell

---

# 16
! MgTa, relaxed, DFT GGA-PBE; values from VASP
&SYSTEM
  ibrav = 0, nat = 8, ntyp = 2
/
ATOMIC_SPECIES
Mg 24.30 Mg.upf
Ta 180.95 Ta.upf
CELL_PARAMETERS angstrom
4.6731 0.0000 0.0000
-2.3365 4.0470 0.0000
0.0000 0.0000 8.4352
ATOMIC_POSITIONS angstrom
Mg 0.0000 0.0000 2.1088
Mg 0.0000 0.0000 6.3264
Mg 0.0000 2.6980 2.1088
Mg 2.3365 1.3490 6.3264
Ta 0.0000 2.6980 4.8913
Ta 0.0000 2.6980 7.7615
Ta 2.3365 1.3490 0.6737
Ta 2.3365 1.3490 3.5439
! * raw total energy: -48.19 eV per cell
! * magnetic moment: 2.0 Bohr magnetons per cell

---

# 17
! Mg2Ta, relaxed, DFT GGA-PBE; values from VASP
&SYSTEM
  ibrav = 0, nat = 6, ntyp = 2
/
ATOMIC_SPECIES
Mg 24.30 Mg.upf
Ta 180.95 Ta.upf
CELL_PARAMETERS angstrom
1.4819 -8.4121 0.0000
1.4819 8.4121 0.0000
0.0000 0.0000 4.8567
ATOMIC_POSITIONS angstrom
Mg 1.4819 7.4501 3.6425
Mg 1.4819 1.9714 3.6425
Mg 1.4819 -1.9714 1.2142
Mg 1.4819 -7.4501 1.2142
Ta 1.4819 3.8005 1.2142
Ta 1.4819 -3.8005 3.6425
! * raw total energy: -28.78 eV per cell
! * magnetic moment: 0.0 Bohr magnetons per cell

---

# 18
! MgTa, relaxed, DFT GGA-PBE; values from VASP
&SYSTEM
  ibrav = 0, nat = 8, ntyp = 2
/
ATOMIC_SPECIES
Mg 24.30 Mg.upf
Ta 180.95 Ta.upf
CELL_PARAMETERS angstrom
-4.4835 4.4835 2.0545
4.4835 -4.4835 2.0545
4.4835 4.4835 -2.0545
ATOMIC_POSITIONS angstrom
Mg 2.9126 0.0000 0.0000
Mg 6.0544 0.0000 0.0000
Mg 0.0000 2.9126 0.0000
Mg 0.0000 6.0544 0.0000
Ta 2.9417 2.9417 0.0000
Ta 1.5418 -1.5418 2.0545
Ta -1.5418 1.5418 2.0545
Ta 1.5418 1.5418 2.0545
! * raw total energy: -48.91 eV per cell
! * magnetic moment: 0.0 Bohr magnetons per cell

---

# 19
! MgTa2, relaxed, DFT GGA-PBE; values from VASP
&SYSTEM
  ibrav = 0, nat = 3, ntyp = 2
/
ATOMIC_SPECIES
Mg 24.30 Mg.upf
Ta 180.95 Ta.upf
CELL_PARAMETERS angstrom
-1.4104 1.4104 7.2088
1.4104 -1.4104 7.2088
1.4104 1.4104 -7.2088
ATOMIC_POSITIONS angstrom
Mg 0.0000 0.0000 0.0000
Ta 0.0000 0.0000 4.7455
Ta 0.0000 0.0000 9.6722
! * raw total energy: -24.54 eV per cell
! * magnetic moment: 0.0 Bohr magnetons per cell

---

# 20
! Mg5Ta4, relaxed, DFT GGA-PBE; values from VASP
&SYSTEM
  ibrav = 0, nat = 18, ntyp = 2
/
ATOMIC_SPECIES
Mg 24.30 Mg.upf
Ta 180.95 Ta.upf
CELL_PARAMETERS angstrom
8.4232 0.0000 0.0000
-4.2116 7.2947 0.0000
0.0000 0.0000 5.7842
ATOMIC_POSITIONS angstrom
Mg -1.5614 2.7044 1.4460
Mg -2.6502 4.5903 4.3381
Mg 0.0000 4.8631 0.0000
Mg 0.0000 4.8631 2.8921
Mg 3.1228 0.0000 1.4460
Mg 1.5614 2.7044 4.3381
Mg 5.3004 0.0000 4.3381
Mg 2.6502 4.5903 1.4460
Mg 4.2116 2.4316 0.0000
Mg 4.2116 2.4316 2.8921
Ta 0.0000 0.0000 0.0000
Ta 0.0000 0.0000 2.8921
Ta -1.1870 2.0560 4.3381
Ta -3.0246 5.2387 1.4460
Ta 2.3740 0.0000 4.3381
Ta 1.1870 2.0560 1.4460
Ta 6.0492 0.0000 1.4460
Ta 3.0246 5.2387 4.3381
! * raw total energy: -102.30 eV per cell
! * magnetic moment: 0.0 Bohr magnetons per cell